Entry from Alexandria: an optimized crystal structure of K2NaGaP2 (PBE).

Properties
* size of the total moment: 0.000 μB per atom
* ΔE_f: -0.460 eV per atom
* density: 2.5 g/cm3

a b c (Å): 8.646 8.646 8.646
angles (deg): 136.30 134.83 64.66
Atoms (fractional coordinates):
P 0.393 0.592 0.801
P 0.209 0.908 0.301
P 0.791 0.092 0.699
P 0.607 0.408 0.199
Ga 0.500 0.250 0.750
Ga 0.500 0.750 0.250
Na 0.000 0.250 0.250
Na 0.000 0.750 0.750
K 0.928 0.675 0.253
K 0.421 0.175 0.247
K 0.579 0.825 0.753
K 0.072 0.325 0.747

Entry from Alexandria: an optimized crystal structure of Ca2CdNiH6 (PBE).

Properties
* size of the total moment: 0.000 μB per atom
* calculated total energy: -3.370 eV per atom
* density of states at the Fermi level: 1.87 states/eV/f.u.
* density: 3.3 g/cm3

a b c (Å): 7.121 4.605 4.605
angles (deg): 120.00 90.00 90.00
Atoms (fractional coordinates):
H 0.877 0.671 0.836
H 0.877 0.164 0.329
H 0.123 0.329 0.164
H 0.877 0.164 0.836
H 0.123 0.836 0.164
H 0.123 0.836 0.671
Ca 0.187 0.333 0.667
Ca 0.813 0.667 0.333
Cd 0.500 0.000 0.000
Ni 0.000 0.000 0.000

Entry from Alexandria: an optimized crystal structure of KRb2HgAs2 (PBE).

Properties
* size of the total moment: 0.000 μB per atom
* ΔE_f: -0.253 eV per atom
* density of states at the Fermi level: 5.11 states/eV/f.u.
* density: 4.2 g/cm3

a b c (Å): 7.918 7.556 9.248
angles (deg): 114.11 115.35 90.00
Atoms (fractional coordinates):
As 0.786 0.090 0.180
As 0.214 0.910 0.820
As 0.606 0.410 0.820
As 0.394 0.590 0.180
Rb 0.464 0.175 0.350
Rb 0.886 0.675 0.350
Rb 0.114 0.325 0.650
Rb 0.536 0.825 0.650
K 0.000 0.750 0.000
K 0.000 0.250 0.000
Hg 0.500 0.250 0.000
Hg 0.500 0.750 0.000